No. 1
Density functional theory data (PBEsol) for a geometry-optimized ZrCdSbI2 structure.

Structure (POSCAR):
```
ZrCdSbI2
1.0
-0.780 -4.617 3.020
-0.399 -3.227 -5.038
5.924 -0.922 0.121
I Cd Zr Sb
2 1 1 1
Direct
0.000 0.500 0.000
0.000 0.000 0.500
0.500 0.500 0.500
0.500 0.000 0.000
0.000 0.000 0.000
```

Values from the calculation:
density: 4.80 g/cm³
formation energy from raw total energies: 0.6211 eV/atom

No. 2
Density functional theory data (PBEsol) for a geometry-optimized PdRhPb2 structure.

Structure (POSCAR):
```
PdRhPb2
1.0
4.745 0.000 0.000
2.373 4.109 0.000
2.373 1.370 3.874
Pb Rh Pd
2 1 1
Direct
0.750 0.750 0.750
0.250 0.250 0.250
0.000 0.000 0.000
0.500 0.500 0.500
```

Values from the calculation:
energy of formation from the pure elements: 1.0 kJ per mole of atoms
density: 13.71 g/cm³

No. 3
Density functional theory data (PBEsol) for a geometry-optimized TbGeAu structure.

Structure (POSCAR):
```
TbGeAu
1.0
4.416 0.000 0.000
-2.208 3.825 0.000
0.000 0.000 7.212
Au Ge Tb
2 2 2
Direct
0.667 0.333 0.210
0.333 0.667 0.710
0.333 0.667 0.290
0.667 0.333 0.790
0.000 0.000 0.499
0.000 0.000 0.999
```

Values from the calculation:
energy of formation from the pure elements: -86.4 kJ per mole of atoms
density: 11.68 g/cm³

No. 4
Density functional theory data (PBEsol) for a geometry-optimized In2SiAs structure.

Structure (POSCAR):
```
In2SiAs
1.0
-1.927 4.443 0.809
-4.823 0.477 0.793
-1.648 1.184 4.472
In As Si
2 1 1
Direct
0.250 0.250 0.250
0.750 0.750 0.750
0.000 0.000 0.000
0.500 0.500 0.500
```

Values from the calculation:
density: 6.60 g/cm³
formation energy from raw total energies: 0.3142 eV/atom

No. 5
Density functional theory data (PBEsol) for a geometry-optimized SnAs2Se2 structure.

Structure (POSCAR):
```
SnAs2Se2
1.0
-3.398 0.644 0.077
-1.277 -6.091 -5.344
-0.859 -5.278 6.220
As Sn Se
4 2 4
Direct
0.000 0.708 0.208
0.000 0.292 0.792
0.000 0.208 0.292
0.000 0.792 0.708
0.000 0.000 0.000
0.000 0.500 0.500
0.500 0.859 0.359
0.500 0.141 0.641
0.500 0.641 0.859
0.500 0.359 0.141
```

Values from the calculation:
density: 6.08 g/cm³
formation energy from raw total energies: 0.0304 eV/atom

No. 6
Density functional theory data (PBEsol) for a geometry-optimized SrNiIr2 structure.

Structure (POSCAR):
```
SrNiIr2
1.0
2.793 0.000 0.005
0.000 4.425 0.000
-1.233 0.000 5.422
Ir Sr Ni
2 1 1
Direct
0.662 0.000 0.802
0.338 0.000 0.198
0.000 0.500 0.500
0.500 0.500 0.000
```

Values from the calculation:
energy of formation from the pure elements: 35.1 kJ per mole of atoms
density: 13.14 g/cm³